A relaxed structure of NaBeVO4, computed with PBE with a Hubbard U.

```
data_NaBeVO4
_cell_length_a 4.980
_cell_length_b 4.980
_cell_length_c 5.182
_cell_angle_alpha 118.72
_cell_angle_beta 118.72
_cell_angle_gamma 90.00
_space_group_name_H-M_alt 'P 1'
_space_group_IT_number 1
_space_group_name_Hall 'P 1'
loop_
_atom_site_label
_atom_site_fract_x
_atom_site_fract_y
_atom_site_fract_z
Na1 0.000 0.000 0.000
Be1 0.250 0.750 0.500
V1 0.500 0.500 0.000
O1 0.246 0.111 0.744
O2 0.367 0.754 0.256
O3 0.498 0.633 0.744
O4 0.889 0.502 0.256
```

## Properties
Crystal system: tetragonal
SG: I-4, No. 82
VASP energy: -47.6 eV/cell
Calculated volume: 94 Å³ per cell